Below is an optimized crystal structure of PmPr2Er4Tm, with properties calculated at the GGA-PBE level.

- formation energy from the elements (eV/atom) = 0.416
- crystal system = orthorhombic
- V (Å³ per atom) = 33.29

Lattice parameters (Å, degrees): 9.5115 9.5115 9.5115 138.18 102.92 91.78
Last column: nearest neighbours and their distance in Å.
Fractional positions:
Pm 0.0000 0.0000 0.0000  6 Er 3.31-3.42, 2 Pr 3.39
Pm 0.5000 0.0000 0.5000  6 Er 3.31-3.42, 2 Pr 3.39
Pr 0.0000 0.5000 0.5000  6 Er 3.31-3.42, 2 Pm 3.39
Pr 0.5000 0.0000 0.0000  2 Pr 3.39, 6 Er 3.40-3.48
Pr 0.5000 0.5000 0.0000  6 Er 3.31-3.42, 2 Pm 3.39
Pr 0.5000 0.5000 0.5000  2 Pr 3.39, 6 Er 3.40-3.48
Er 0.2435 0.2433 0.4998  1 Tm 3.22, 2 Er 3.39-3.40, 3 Pr 3.40-3.42, 2 Pm 3.42
Er 0.2435 0.7436 0.0002  1 Tm 3.22, 2 Er 3.39-3.40, 3 Pr 3.40-3.42, 2 Pm 3.42
Er 0.2436 0.2499 0.9936  1 Pm 3.31, 3 Pr 3.31-3.48, 2 Tm 3.35, 2 Er 3.39
Er 0.2437 0.7501 0.4936  1 Pm 3.31, 3 Pr 3.31-3.48, 2 Tm 3.35, 2 Er 3.39
Er 0.7563 0.2499 0.5064  1 Pm 3.31, 3 Pr 3.31-3.48, 2 Tm 3.35, 2 Er 3.39
Er 0.7564 0.7501 0.0064  1 Pm 3.31, 3 Pr 3.31-3.48, 2 Tm 3.35, 2 Er 3.39
Er 0.7565 0.2564 0.9998  1 Tm 3.22, 2 Er 3.39-3.40, 3 Pr 3.40-3.42, 2 Pm 3.42
Er 0.7565 0.7567 0.5002  1 Tm 3.22, 2 Er 3.39-3.40, 3 Pr 3.40-3.42, 2 Pm 3.42
Tm 0.0000 0.0000 0.5000  6 Er 3.22-3.35, 2 Tm 3.39
Tm 0.0000 0.5000 0.0000  6 Er 3.22-3.35, 2 Tm 3.39

Below is an optimized crystal structure of Pm2PrEr5Tm, with properties calculated at the GGA-PBE level.

- formation energy from the elements (eV/atom) = 0.270
- crystal system = tetragonal
- V (Å³ per atom) = 32.33

Lattice parameters (Å, degrees): 9.8095 9.8095 9.8095 127.09 127.09 78.10
Last column: nearest neighbours and their distance in Å.
Fractional positions:
Pm 0.1158 0.6158 0.7316  1 Pm 2.86, 2 Er 3.00
Pm 0.3842 0.1158 0.5000  1 Pm 2.86, 2 Er 3.00
Pm 0.6158 0.8842 0.5000  1 Pm 2.86, 2 Er 3.00
Pm 0.8842 0.3842 0.2684  1 Pm 2.86, 2 Er 3.00
Pr 0.2500 0.2500 0.0000  10 Er 3.57-3.81
Pr 0.7500 0.7500 0.0000  10 Er 3.57-3.81
Er 0.0000 0.0000 0.0000  4 Pm 3.51, 8 Er 3.76, 2 Pr 3.81
Er 0.0727 0.1538 0.5000  1 Pm 3.00, 1 Tm 3.11
Er 0.1538 0.6538 0.0810  1 Pm 3.00, 1 Tm 3.11
Er 0.3462 0.4273 0.5000  1 Pm 3.00, 1 Tm 3.11
Er 0.4273 0.9273 0.0810  1 Pm 3.00, 1 Tm 3.11
Er 0.5000 0.5000 0.0000  4 Pm 3.51, 8 Er 3.76, 2 Pr 3.81
Er 0.5727 0.0727 0.9190  1 Pm 3.00, 1 Tm 3.11
Er 0.6538 0.5727 0.5000  1 Pm 3.00, 1 Tm 3.11
Er 0.8462 0.3462 0.9190  1 Pm 3.00, 1 Tm 3.11
Er 0.9273 0.8462 0.5000  1 Pm 3.00, 1 Tm 3.11
Tm 0.2500 0.7500 0.5000  4 Er 3.11
Tm 0.7500 0.2500 0.5000  4 Er 3.11

Below is an optimized crystal structure of Pm6PrEr2Tm, with properties calculated at the GGA-PBE level.

- formation energy from the elements (eV/atom) = 0.115
- crystal system = monoclinic
- V (Å³ per atom) = 33.70

Lattice parameters (Å, degrees): 8.9124 8.9124 9.5862 93.34 93.34 117.02
Last column: nearest neighbours and their distance in Å.
Fractional positions:
Pm 0.0069 0.5593 0.1853  3 Pm 3.27-3.63, 1 Tm 3.46, 1 Er 3.47, 1 Pr 3.59
Pm 0.1172 0.7597 0.5554  7 Pm 3.46-3.78, 1 Er 3.54, 2 Pr 3.69-3.80
Pm 0.2403 0.8828 0.9446  7 Pm 3.46-3.78, 1 Er 3.54, 2 Pr 3.69-3.80
Pm 0.2930 0.5152 0.3833  4 Pm 3.27-3.59, 3 Er 3.31-3.48, 2 Tm 3.45-3.55
Pm 0.4407 0.9931 0.3147  3 Pm 3.27-3.63, 1 Tm 3.46, 1 Er 3.47, 1 Pr 3.59
Pm 0.4848 0.7070 0.1167  4 Pm 3.27-3.59, 3 Er 3.31-3.48, 2 Tm 3.45-3.55
Pm 0.5152 0.2930 0.8833  4 Pm 3.27-3.59, 3 Er 3.31-3.48, 2 Tm 3.45-3.55
Pm 0.5593 0.0069 0.6853  3 Pm 3.27-3.63, 1 Tm 3.46, 1 Er 3.47, 1 Pr 3.59
Pm 0.7070 0.4848 0.6167  4 Pm 3.27-3.59, 3 Er 3.31-3.48, 2 Tm 3.45-3.55
Pm 0.7597 0.1172 0.0554  7 Pm 3.46-3.78, 1 Er 3.54, 2 Pr 3.69-3.80
Pm 0.8828 0.2403 0.4446  7 Pm 3.46-3.78, 1 Er 3.54, 2 Pr 3.69-3.80
Pm 0.9931 0.4407 0.8147  3 Pm 3.27-3.63, 1 Tm 3.46, 1 Er 3.47, 1 Pr 3.59
Pr 0.0297 0.9703 0.2500  4 Er 3.43-3.52, 6 Pm 3.59-3.80
Pr 0.9703 0.0297 0.7500  4 Er 3.43-3.52, 6 Pm 3.59-3.80
Er 0.2041 0.3033 0.0491  6 Pm 3.31-3.68, 2 Pr 3.43-3.52, 1 Tm 3.52
Er 0.3033 0.2041 0.5491  6 Pm 3.31-3.68, 2 Pr 3.43-3.52, 1 Tm 3.52
Er 0.6967 0.7959 0.4509  6 Pm 3.31-3.68, 2 Pr 3.43-3.52, 1 Tm 3.52
Er 0.7959 0.6967 0.9509  6 Pm 3.31-3.68, 2 Pr 3.43-3.52, 1 Tm 3.52
Tm 0.4117 0.5883 0.7500  6 Pm 3.45-3.55, 2 Er 3.52
Tm 0.5883 0.4117 0.2500  6 Pm 3.45-3.55, 2 Er 3.52

Below is an optimized crystal structure of Pm2Pr5ErTm, with properties calculated at the GGA-PBE level.

- formation energy from the elements (eV/atom) = 0.279
- crystal system = tetragonal
- V (Å³ per atom) = 35.12

Lattice parameters (Å, degrees): 10.5275 10.5275 10.5275 131.97 131.97 70.28
Last column: nearest neighbours and their distance in Å.
Fractional positions:
Pm 0.1233 0.6233 0.7466  1 Pm 2.99, 2 Pr 3.12
Pm 0.3767 0.1233 0.5000  1 Pm 2.99, 2 Pr 3.12
Pm 0.6233 0.8767 0.5000  1 Pm 2.99, 2 Pr 3.12
Pm 0.8767 0.3767 0.2534  1 Pm 2.99, 2 Pr 3.12
Pr 0.0000 0.0000 0.0000  4 Pm 3.40
Pr 0.0763 0.1355 0.5000  1 Pm 3.12, 1 Tm 3.23
Pr 0.1355 0.6355 0.0591  1 Pm 3.12, 1 Tm 3.23
Pr 0.3645 0.4237 0.5000  1 Pm 3.12, 1 Tm 3.23
Pr 0.4237 0.9237 0.0591  1 Pm 3.12, 1 Tm 3.23
Pr 0.5000 0.5000 0.0000  4 Pm 3.40
Pr 0.5763 0.0763 0.9409  1 Pm 3.12, 1 Tm 3.23
Pr 0.6355 0.5763 0.5000  1 Pm 3.12, 1 Tm 3.23
Pr 0.8645 0.3645 0.9409  1 Pm 3.12, 1 Tm 3.23
Pr 0.9237 0.8645 0.5000  1 Pm 3.12, 1 Tm 3.23
Er 0.2500 0.2500 0.0000  8 Pr 3.55
Er 0.7500 0.7500 0.0000  8 Pr 3.55
Tm 0.2500 0.7500 0.5000  4 Pr 3.23
Tm 0.7500 0.2500 0.5000  4 Pr 3.23

Number 1: DFT total energy -4.214 eV per atom. Number 2: DFT total energy -4.349 eV per atom. Number 3: DFT total energy -4.573 eV per atom. Number 4: DFT total energy -4.436 eV per atom.